Computed, not measured: crystalline WBrCl2 at its relaxed geometry at the PBE level of DFT.

The structure in POSCAR format:
```
WBrCl2
1.0
7.486 -1.604 0.000
7.486 1.604 0.000
-0.120 0.000 5.075
W Br Cl
1 1 2
Direct
0.000 0.000 0.000
0.000 0.000 0.500
0.376 0.376 0.992
0.624 0.624 0.008
```

Output
Distance to the lowest polymorph of the same formula, meV per atom: 18
Space-group type: C2/m
ΔE_f (raw), eV per atom: -0.33
Energy, eV/atom: -4.909
ρ, g/cm3: 4.6
Fermi-level density of states, states/eV per cell: 2.8

---

Computed, not measured: crystalline Cd5HgBi2 at its relaxed geometry at the PBE level of DFT.

The structure in POSCAR format:
```
Cd5HgBi2
1.0
3.564 0.000 0.000
0.000 13.513 0.000
-0.065 0.000 8.859
Cd Hg Bi
10 2 4
Direct
0.246 0.090 0.053
0.246 0.410 0.053
0.247 0.250 0.483
0.249 0.573 0.625
0.249 0.927 0.625
0.751 0.073 0.375
0.751 0.427 0.375
0.753 0.750 0.517
0.754 0.590 0.947
0.754 0.910 0.947
0.255 0.750 0.840
0.745 0.250 0.160
0.253 0.609 0.262
0.253 0.891 0.262
0.747 0.109 0.738
0.747 0.391 0.738
```

Output
DFT formation energy, eV per atom: 0.05
Space-group type: P2_1/m
Energy, eV/atom: -1.530
ρ, g/cm3: 9.2
Fermi-level density of states, states/eV per cell: 5.9

---

Computed, not measured: crystalline Ca4BeMo at its relaxed geometry at the PBE level of DFT.

The structure in POSCAR format:
```
Ca4BeMo
1.0
0.000 4.497 4.497
4.497 0.000 4.497
4.497 4.497 0.000
Ca Be Mo
4 1 1
Direct
0.125 0.125 0.125
0.125 0.125 0.625
0.125 0.625 0.125
0.625 0.125 0.125
0.500 0.500 0.500
0.750 0.750 0.750
```

Output
DFT formation energy, eV per atom: 1.24
Space-group type: F-43m
Energy, eV/atom: -2.523
ρ, g/cm3: 2.4
Fermi-level density of states, states/eV per cell: 4.6